(1)
Entry from Alexandria: a relaxed structure of Mn7CrP12O48 (GGA-PBEsol).

```
data_Mn7CrP12O48
_chemical_formula_sum 'Mn7 Cr1 P12 O48'
_symmetry_space_group_name_H-M 'P 1'
_symmetry_Int_Tables_number 1
_symmetry_space_group_name_Hall 'P 1'
_cell_length_a 8.359
_cell_length_b 8.104
_cell_length_c 11.357
_cell_angle_alpha 90.71
_cell_angle_beta 89.82
_cell_angle_gamma 89.99
loop_
_atom_site_label
_atom_site_type_symbol
_atom_site_fract_x
_atom_site_fract_y
_atom_site_fract_z
O1 O 0.665 0.184 0.439
O2 O 0.128 0.568 0.941
O3 O 0.833 0.687 0.943
O4 O 0.923 0.926 0.817
O5 O 0.071 0.268 0.457
O6 O 0.872 0.432 0.062
Mn1 Mn 0.468 0.252 0.378
O7 O 0.422 0.366 0.517
Mn2 Mn 0.533 0.256 0.885
O8 O 0.423 0.574 0.676
O9 O 0.080 0.867 0.018
P1 P 0.751 0.533 0.992
O10 O 0.321 0.569 0.114
O11 O 0.497 0.131 0.243
O12 O 0.577 0.427 0.315
O13 O 0.996 0.366 0.257
O14 O 0.427 0.770 0.957
O15 O 0.132 0.903 0.417
P2 P 0.380 0.391 0.646
O16 O 0.482 0.279 0.723
Mn3 Mn 0.030 0.752 0.883
Mn4 Mn 0.971 0.753 0.385
O17 O 0.976 0.226 0.775
Mn5 Mn 0.030 0.246 0.616
Mn6 Mn 0.969 0.248 0.120
Mn7 Mn 0.468 0.746 0.116
O18 O 0.784 0.159 0.184
O19 O 0.302 0.880 0.166
P3 P 0.250 0.467 0.010
O20 O 0.870 0.094 0.583
O21 O 0.610 0.928 0.100
P4 P 0.119 0.894 0.149
O22 O 0.566 0.640 0.480
O23 O 0.374 0.068 0.441
P5 P 0.889 0.611 0.642
O24 O 0.198 0.381 0.666
O25 O 0.338 0.824 0.566
O26 O 0.698 0.118 0.836
O27 O 0.937 0.734 0.546
O28 O 0.502 0.857 0.757
Cr1 Cr 0.531 0.749 0.620
P6 P 0.619 0.605 0.351
O29 O 0.924 0.135 0.981
P7 P 0.116 0.389 0.357
P8 P 0.881 0.105 0.852
O30 O 0.824 0.931 0.388
O31 O 0.019 0.774 0.224
P9 P 0.249 0.971 0.509
O32 O 0.175 0.068 0.613
O33 O 0.389 0.073 0.893
O34 O 0.283 0.337 0.313
O35 O 0.374 0.408 0.919
O36 O 0.625 0.592 0.081
P10 P 0.751 0.035 0.489
O37 O 0.078 0.074 0.184
P11 P 0.380 0.890 0.859
O38 O 0.216 0.838 0.813
P12 P 0.616 0.109 0.141
O39 O 0.112 0.571 0.398
O40 O 0.632 0.926 0.561
O41 O 0.889 0.430 0.600
O42 O 0.680 0.433 0.886
O43 O 0.998 0.629 0.748
O44 O 0.571 0.231 0.043
O45 O 0.166 0.315 0.061
O46 O 0.802 0.617 0.344
O47 O 0.715 0.661 0.677
O48 O 0.526 0.728 0.275
```

Calculated values
Its space group is P1. As for the total magnetization: 19.0 Bohr magnetons per cell. The uncorrected energy comes out at -7.761 eV/atom. The calculation puts the formation energy (no corrections) at -1879 meV/atom.

***

(2)
Entry from Alexandria: a relaxed structure of MnCr3P4O16 (GGA-PBEsol).

```
data_MnCr3P4O16
_chemical_formula_sum 'Mn1 Cr3 P4 O16'
_symmetry_space_group_name_H-M 'P 1'
_symmetry_Int_Tables_number 1
_symmetry_space_group_name_Hall 'P 1'
_cell_length_a 4.704
_cell_length_b 5.670
_cell_length_c 9.727
_cell_angle_alpha 90.00
_cell_angle_beta 90.84
_cell_angle_gamma 90.00
loop_
_atom_site_label
_atom_site_type_symbol
_atom_site_fract_x
_atom_site_fract_y
_atom_site_fract_z
P1 P 0.893 0.500 0.410
Cr1 Cr 0.046 0.500 0.731
O1 O 0.764 0.290 0.832
O2 O 0.258 0.790 0.668
P2 P 0.100 0.000 0.591
O3 O 0.828 0.500 0.562
O4 O 0.291 0.500 0.888
O5 O 0.782 0.000 0.612
O6 O 0.162 0.000 0.437
Mn1 Mn 0.934 0.000 0.276
O7 O 0.684 0.500 0.063
P3 P 0.395 0.000 0.091
O8 O 0.764 0.710 0.832
P4 P 0.611 0.500 0.911
Cr2 Cr 0.453 0.500 0.227
O9 O 0.732 0.292 0.333
O10 O 0.249 0.214 0.164
O11 O 0.210 0.500 0.385
O12 O 0.720 0.000 0.116
O13 O 0.258 0.210 0.668
O14 O 0.732 0.708 0.333
O15 O 0.249 0.786 0.164
O16 O 0.337 0.000 0.937
Cr3 Cr 0.548 0.000 0.770
```

Calculated values
Its space group is Pm. As for the total magnetization: 13.0 Bohr magnetons per cell. The uncorrected energy comes out at -8.188 eV/atom. The calculation puts the formation energy (no corrections) at -2037 meV/atom.

***

(3)
Entry from Alexandria: a relaxed structure of MnCr3P6O24 (GGA-PBEsol).

```
data_MnCr3P6O24
_chemical_formula_sum 'Mn1 Cr3 P6 O24'
_symmetry_space_group_name_H-M 'P 1'
_symmetry_Int_Tables_number 1
_symmetry_space_group_name_Hall 'P 1'
_cell_length_a 8.177
_cell_length_b 8.177
_cell_length_c 8.557
_cell_angle_alpha 61.46
_cell_angle_beta 61.46
_cell_angle_gamma 60.00
loop_
_atom_site_label
_atom_site_type_symbol
_atom_site_fract_x
_atom_site_fract_y
_atom_site_fract_z
O1 O 0.961 0.014 0.713
O2 O 0.328 0.276 0.413
O3 O 0.979 0.686 0.291
O4 O 0.872 0.501 0.931
P1 P 0.527 0.252 0.253
O5 O 0.669 0.730 0.587
O6 O 0.982 0.328 0.413
O7 O 0.014 0.669 0.587
O8 O 0.276 0.982 0.413
O9 O 0.404 0.764 0.231
P2 P 0.033 0.469 0.747
O10 O 0.764 0.601 0.231
P3 P 0.469 0.752 0.747
Cr1 Cr 0.855 0.855 0.435
O11 O 0.237 0.397 0.768
Mn1 Mn 0.146 0.146 0.562
O12 O 0.302 0.130 0.068
O13 O 0.044 0.979 0.291
Cr2 Cr 0.640 0.640 0.079
O14 O 0.695 0.872 0.931
P4 P 0.752 0.033 0.747
Cr3 Cr 0.361 0.361 0.917
O15 O 0.598 0.237 0.768
O16 O 0.397 0.598 0.768
O17 O 0.601 0.404 0.231
O18 O 0.686 0.044 0.291
O19 O 0.501 0.695 0.931
O20 O 0.730 0.014 0.587
O21 O 0.014 0.312 0.713
P5 P 0.968 0.527 0.253
P6 P 0.252 0.968 0.253
O22 O 0.500 0.302 0.068
O23 O 0.130 0.500 0.068
O24 O 0.312 0.961 0.713
```

Calculated values
Its space group is R3. As for the total magnetization: 7.0 Bohr magnetons per cell. The uncorrected energy comes out at -7.873 eV/atom. The calculation puts the formation energy (no corrections) at -1955 meV/atom.

***

(4)
Entry from Alexandria: a relaxed structure of Mn2CrP3O12 (GGA-PBEsol).

```
data_Mn2CrP3O12
_chemical_formula_sum 'Mn4 Cr2 P6 O24'
_symmetry_space_group_name_H-M 'P 1'
_symmetry_Int_Tables_number 1
_symmetry_space_group_name_Hall 'P 1'
_cell_length_a 8.274
_cell_length_b 8.274
_cell_length_c 8.274
_cell_angle_alpha 61.87
_cell_angle_beta 61.87
_cell_angle_gamma 61.87
loop_
_atom_site_label
_atom_site_type_symbol
_atom_site_fract_x
_atom_site_fract_y
_atom_site_fract_z
P1 P 0.750 0.453 0.047
Cr1 Cr 0.000 0.000 0.000
O1 O 0.406 0.562 0.747
O2 O 0.993 0.178 0.389
P2 P 0.953 0.250 0.547
O3 O 0.111 0.322 0.507
Mn1 Mn 0.856 0.856 0.856
O4 O 0.389 0.993 0.178
O5 O 0.594 0.438 0.253
O6 O 0.094 0.753 0.938
Mn2 Mn 0.144 0.144 0.144
O7 O 0.322 0.507 0.111
Mn3 Mn 0.644 0.644 0.644
O8 O 0.678 0.493 0.889
P3 P 0.453 0.047 0.750
Cr2 Cr 0.500 0.500 0.500
P4 P 0.047 0.750 0.453
O9 O 0.507 0.111 0.322
O10 O 0.906 0.247 0.062
O11 O 0.493 0.889 0.678
O12 O 0.062 0.906 0.247
O13 O 0.822 0.611 0.007
O14 O 0.747 0.406 0.562
O15 O 0.247 0.062 0.906
O16 O 0.438 0.253 0.594
P5 P 0.250 0.547 0.953
O17 O 0.562 0.747 0.406
O18 O 0.611 0.007 0.822
Mn4 Mn 0.356 0.356 0.356
O19 O 0.253 0.594 0.438
O20 O 0.178 0.389 0.993
O21 O 0.938 0.094 0.753
P6 P 0.547 0.953 0.250
O22 O 0.753 0.938 0.094
O23 O 0.889 0.678 0.493
O24 O 0.007 0.822 0.611
```

Calculated values
Its space group is R-3c. As for the total magnetization: 22.0 Bohr magnetons per cell. The uncorrected energy comes out at -8.057 eV/atom. The calculation puts the formation energy (no corrections) at -1939 meV/atom.

***

(5)
Entry from Alexandria: a relaxed structure of Mn3CrP4O16 (GGA-PBEsol).

```
data_Mn3CrP4O16
_chemical_formula_sum 'Mn3 Cr1 P4 O16'
_symmetry_space_group_name_H-M 'P 1'
_symmetry_Int_Tables_number 1
_symmetry_space_group_name_Hall 'P 1'
_cell_length_a 4.760
_cell_length_b 5.814
_cell_length_c 9.704
_cell_angle_alpha 90.00
_cell_angle_beta 90.81
_cell_angle_gamma 90.00
loop_
_atom_site_label
_atom_site_type_symbol
_atom_site_fract_x
_atom_site_fract_y
_atom_site_fract_z
O1 O 0.747 0.293 0.168
O2 O 0.786 0.000 0.381
O3 O 0.757 0.710 0.667
O4 O 0.338 0.000 0.060
O5 O 0.757 0.290 0.667
O6 O 0.222 0.500 0.616
O7 O 0.167 0.000 0.560
O8 O 0.747 0.707 0.168
O9 O 0.277 0.500 0.120
P1 P 0.594 0.500 0.096
O10 O 0.713 0.000 0.883
Cr1 Cr 0.955 0.000 0.726
Mn1 Mn 0.431 0.500 0.778
O11 O 0.844 0.500 0.439
Mn2 Mn 0.566 0.000 0.221
O12 O 0.645 0.500 0.940
P2 P 0.400 0.000 0.906
O13 O 0.239 0.797 0.830
O14 O 0.252 0.794 0.332
O15 O 0.239 0.203 0.830
Mn3 Mn 0.068 0.500 0.282
O16 O 0.252 0.206 0.332
P3 P 0.105 0.000 0.406
P4 P 0.901 0.500 0.595
```

Calculated values
Its space group is Pm. As for the total magnetization: 15.0 Bohr magnetons per cell. The uncorrected energy comes out at -8.093 eV/atom. The calculation puts the formation energy (no corrections) at -1981 meV/atom.

***

(6)
Entry from Alexandria: a relaxed structure of Ti3MnCrP6O24 (GGA-PBEsol).

```
data_Ti3MnCrP6O24
_chemical_formula_sum 'Ti3 Mn1 Cr1 P6 O24'
_symmetry_space_group_name_H-M 'P 1'
_symmetry_Int_Tables_number 1
_symmetry_space_group_name_Hall 'P 1'
_cell_length_a 8.471
_cell_length_b 8.471
_cell_length_c 8.471
_cell_angle_alpha 60.69
_cell_angle_beta 60.69
_cell_angle_gamma 60.69
loop_
_atom_site_label
_atom_site_type_symbol
_atom_site_fract_x
_atom_site_fract_y
_atom_site_fract_z
O1 O 0.684 0.879 0.507
Ti1 Ti 0.355 0.355 0.355
P1 P 0.256 0.954 0.532
O2 O 0.453 0.579 0.236
O3 O 0.093 0.941 0.723
O4 O 0.116 0.489 0.322
P2 P 0.747 0.039 0.471
O5 O 0.278 0.909 0.058
O6 O 0.758 0.554 0.423
O7 O 0.489 0.322 0.116
O8 O 0.992 0.366 0.204
O9 O 0.236 0.453 0.579
O10 O 0.058 0.278 0.909
P3 P 0.532 0.256 0.954
O11 O 0.804 0.002 0.634
Ti2 Ti 0.868 0.868 0.868
O12 O 0.366 0.204 0.992
O13 O 0.579 0.236 0.453
O14 O 0.002 0.634 0.804
O15 O 0.634 0.804 0.002
P4 P 0.039 0.471 0.747
O16 O 0.204 0.992 0.366
O17 O 0.941 0.723 0.093
Mn1 Mn 0.500 0.500 0.500
O18 O 0.723 0.093 0.941
O19 O 0.879 0.507 0.684
O20 O 0.423 0.758 0.554
P5 P 0.471 0.747 0.039
O21 O 0.554 0.423 0.758
O22 O 0.909 0.058 0.278
P6 P 0.954 0.532 0.256
O23 O 0.322 0.116 0.489
O24 O 0.507 0.684 0.879
Cr1 Cr 0.644 0.644 0.644
Ti3 Ti 0.132 0.132 0.132
```

Calculated values
Its space group is R3. As for the total magnetization: 7.0 Bohr magnetons per cell. The uncorrected energy comes out at -8.252 eV/atom. The calculation puts the formation energy (no corrections) at -2375 meV/atom.